1.
Here is a geometry-optimized V2GaPd8 structure from Alexandria via LeMat-Bulk. Energies are from PBE.

```
data_V2GaPd8
_chemical_formula_sum 'V2 Ga1 Pd8'
_cell_length_a 4.287
_cell_length_b 6.277
_cell_length_c 7.114
_cell_angle_alpha 113.09
_cell_angle_beta 107.54
_cell_angle_gamma 90.00
_symmetry_space_group_name_H-M 'P 1'
_symmetry_Int_Tables_number 1
_symmetry_space_group_name_Hall 'P 1'
loop_
_atom_site_label
_atom_site_fract_x
_atom_site_fract_y
_atom_site_fract_z
V1 0.802 0.342 0.604
V2 0.198 0.658 0.396
Ga1 0.500 0.000 0.000
Pd1 0.382 0.561 0.764
Pd2 0.667 0.919 0.335
Pd3 0.829 0.781 0.659
Pd4 0.974 0.264 0.948
Pd5 0.171 0.219 0.341
Pd6 0.333 0.081 0.665
Pd7 0.618 0.439 0.236
Pd8 0.026 0.736 0.052
```

Computed properties:
SG ... No. 12
Formation energy ... -26.4 kJ per mole of atoms
Fermi-level density of states ... 8.4 states/eV/cell
E ... -65.82 eV for the cell shown

2.
Here is a geometry-optimized VGa2Pd2 structure from Alexandria via LeMat-Bulk. Energies are from PBE.

```
data_VGa2Pd2
_chemical_formula_sum 'V2 Ga4 Pd4'
_cell_length_a 7.407
_cell_length_b 7.407
_cell_length_c 2.836
_cell_angle_alpha 90.00
_cell_angle_beta 90.00
_cell_angle_gamma 90.00
_symmetry_space_group_name_H-M 'P 1'
_symmetry_Int_Tables_number 1
_symmetry_space_group_name_Hall 'P 1'
loop_
_atom_site_label
_atom_site_fract_x
_atom_site_fract_y
_atom_site_fract_z
Pd1 0.364 0.864 0.000
Pd2 0.864 0.636 0.000
Pd3 0.636 0.136 0.000
Pd4 0.136 0.364 0.000
Ga1 0.163 0.663 0.500
Ga2 0.663 0.837 0.500
Ga3 0.837 0.337 0.500
Ga4 0.337 0.163 0.500
V1 0.000 0.000 0.000
V2 0.500 0.500 0.000
```

Computed properties:
Energy above the lowest structure with this stoichiometry ... 22 kJ/mol of formula units
SG ... No. 127
Formation energy ... -24.3 kJ per mole of atoms
Fermi-level density of states ... 8.4 states/eV/cell
E ... -53.64 eV for the cell shown

3.
Here is a geometry-optimized V2GaPd5 structure from Alexandria via LeMat-Bulk. Energies are from PBE.

```
data_V2GaPd5
_chemical_formula_sum 'V4 Ga2 Pd10'
_cell_length_a 4.022
_cell_length_b 5.482
_cell_length_c 10.870
_cell_angle_alpha 90.00
_cell_angle_beta 90.00
_cell_angle_gamma 90.00
_symmetry_space_group_name_H-M 'P 1'
_symmetry_Int_Tables_number 1
_symmetry_space_group_name_Hall 'P 1'
loop_
_atom_site_label
_atom_site_fract_x
_atom_site_fract_y
_atom_site_fract_z
V1 0.500 0.302 0.360
V2 0.500 0.698 0.640
V3 0.500 0.198 0.860
V4 0.500 0.802 0.140
Ga1 0.000 0.000 0.500
Ga2 0.000 0.500 0.000
Pd1 0.500 0.298 0.108
Pd2 0.500 0.702 0.892
Pd3 0.500 0.798 0.392
Pd4 0.500 0.202 0.608
Pd5 0.000 0.953 0.745
Pd6 0.000 0.047 0.255
Pd7 0.000 0.453 0.755
Pd8 0.000 0.547 0.245
Pd9 0.000 0.500 0.500
Pd10 0.000 0.000 0.000
```

Computed properties:
SG ... No. 55
Formation energy ... -28.0 kJ per mole of atoms
Fermi-level density of states ... 18.2 states/eV/cell
E ... -99.10 eV for the cell shown

| no. | calculated volume (Å³/f.u.) |
| --- | --- |
| 1 | 166 |
| 2 | 78 |
| 3 | 120 |